# 1
A relaxed ZrTaPd2Pb crystal. Source: Alexandria, functional PBE.

Values from the calculation:
The density of states at the Fermi level is 0.9201 states/eV/atom. The calculation puts the electronic total energy at -6.115 eV/atom. The excess energy over the best structure of this formula in the dataset is 0.0 meV per atom. The calculation puts the formation energy at 784.4 meV/atom.

Unit cell a=4.819 b=4.819 c=5.316 alpha=90.00 beta=90.00 gamma=90.00
Fractional coordinates of all 5 atoms:
Zr: 0.000 0.000 0.000
Ta: 0.500 0.500 0.500
Pd: 0.000 0.500 0.500
Pd: 0.500 0.000 0.500
Pb: 0.500 0.500 0.000

=====

# 2
A relaxed TbPd7Pb2 crystal. Source: Alexandria, functional PBE.

Values from the calculation:
The density of states at the Fermi level is 0.4165 states/eV/atom. The calculation puts the electronic total energy at -4.965 eV/atom. The calculation puts the formation energy at -125.3 meV/atom.

Unit cell a=8.024 b=8.024 c=4.336 alpha=90.00 beta=90.00 gamma=125.00
Fractional coordinates of all 10 atoms:
Tb: 0.000 0.000 0.000
Pd: 0.080 0.283 0.500
Pd: 0.194 0.806 0.000
Pd: 0.283 0.080 0.500
Pd: 0.500 0.500 0.500
Pd: 0.717 0.920 0.500
Pd: 0.806 0.194 0.000
Pd: 0.920 0.717 0.500
Pb: 0.305 0.695 0.500
Pb: 0.695 0.305 0.500

=====

# 3
A relaxed Tb6Pd2Pb crystal. Source: Alexandria, functional PBE.

Values from the calculation:
The density of states at the Fermi level is 0.9071 states/eV/atom. The calculation puts the electronic total energy at -5.186 eV/atom. The calculation puts the formation energy at -533.5 meV/atom.

Unit cell a=8.663 b=8.663 c=8.663 alpha=113.55 beta=110.09 gamma=104.89
Fractional coordinates of all 18 atoms:
Tb: 0.032 0.235 0.798
Tb: 0.183 0.292 0.475
Tb: 0.183 0.708 0.892
Tb: 0.326 0.023 0.697
Tb: 0.326 0.630 0.303
Tb: 0.437 0.235 0.202
Tb: 0.563 0.765 0.798
Tb: 0.674 0.370 0.697
Tb: 0.674 0.977 0.303
Tb: 0.817 0.292 0.108
Tb: 0.817 0.708 0.525
Tb: 0.968 0.765 0.202
Pd: 0.132 0.632 0.500
Pd: 0.347 0.000 0.347
Pd: 0.653 0.000 0.653
Pd: 0.868 0.368 0.500
Pb: 0.000 0.000 0.000
Pb: 0.500 0.500 0.000

=====

# 4
A relaxed Tb4Pd15Pb crystal. Source: Alexandria, functional PBE.

Values from the calculation:
The density of states at the Fermi level is 0.4331 states/eV/atom. The calculation puts the electronic total energy at -5.761 eV/atom. The calculation puts the formation energy at -754.5 meV/atom.

Unit cell a=4.131 b=4.131 c=20.609 alpha=90.00 beta=90.00 gamma=90.00
Fractional coordinates of all 20 atoms:
Tb: 0.000 0.000 0.100
Tb: 0.000 0.000 0.300
Tb: 0.000 0.000 0.700
Tb: 0.000 0.000 0.900
Pd: 0.000 0.500 0.000
Pd: 0.000 0.500 0.201
Pd: 0.000 0.500 0.401
Pd: 0.000 0.500 0.599
Pd: 0.000 0.500 0.799
Pd: 0.500 0.000 0.000
Pd: 0.500 0.000 0.201
Pd: 0.500 0.000 0.401
Pd: 0.500 0.000 0.599
Pd: 0.500 0.000 0.799
Pd: 0.500 0.500 0.101
Pd: 0.500 0.500 0.302
Pd: 0.500 0.500 0.500
Pd: 0.500 0.500 0.698
Pd: 0.500 0.500 0.899
Pb: 0.000 0.000 0.500